1.
This record from Alexandria describes a relaxed structure of AcCuBi2. The functional is PBE-GGA.

Cell lengths 4.9398, 4.9398, 4.8004 Å; angles 90.00, 90.00, 90.00 degrees
Space group P4/mmm (No. 123)
Asymmetric unit:
Ac 0.0000 0.0000 0.0000
Cu 0.5000 0.5000 0.0000
Bi 0.0000 0.5000 0.5000

Calculated values
* distance to the lowest polymorph of the same formula: 0 meV/atom
* mass density: 10.0 g/cm³

=====

2.
This record from Alexandria describes a relaxed structure of Tl4Sn2Se5. The functional is PBE-GGA.

Cell lengths 4.3332, 4.3332, 65.8904 Å; angles 90.00, 90.00, 120.00 degrees
Space group R-3m (No. 166, hexagonal axes)
Asymmetric unit:
Tl 0.0000 0.0000 0.0785
Tl 0.0000 0.0000 0.1882
Sn 0.0000 0.0000 0.3593
Se 0.0000 0.0000 0.0000
Se 0.0000 0.0000 0.1227
Se 0.0000 0.0000 0.2828

Calculated values
* raw total energy: -3.47 eV/atom
* mass density: 6.7 g/cm³

=====

3.
This record from Alexandria describes a relaxed structure of NpNi2Ge4Os. The functional is PBE-GGA.

Cell lengths 4.1574, 4.1574, 25.7915 Å; angles 90.00, 90.00, 120.00 degrees
Space group R-3m (No. 166, hexagonal axes)
Asymmetric unit:
Np 0.0000 0.0000 0.0000
Ni 0.0000 0.0000 0.2334
Ge 0.0000 0.0000 0.1267
Ge 0.0000 0.0000 0.3971
Os 0.0000 0.0000 0.5000

Calculated values
* raw total energy: -6.81 eV/atom
* mass density: 10.8 g/cm³